Run w
Compound: YCdBiOs2
Source: the Alexandria database
Functional: PBE-GGA
Structure: relaxed

a = 5.022 Å, b = 5.022 Å, c = 5.563 Å
α = 90.00°, β = 90.00°, γ = 90.00°
Fractional coordinates of all 5 atoms:
Y 0.000 0.000 0.000
Cd 0.500 0.500 0.000
Bi 0.000 0.000 0.500
Os 0.000 0.500 0.500
Os 0.500 0.000 0.500

Output
Total magnetization   0.00 μB per formula unit
Fermi-level density of states   0.97 states/eV/atom



Run x
Compound: YCdBiOs2
Source: the Alexandria database
Functional: PBE-GGA
Structure: relaxed

a = 5.022 Å, b = 5.022 Å, c = 5.252 Å
α = 90.00°, β = 90.00°, γ = 90.00°
Fractional coordinates of all 5 atoms:
Y 0.000 0.000 0.000
Cd 0.500 0.500 0.000
Bi 0.500 0.500 0.500
Os 0.000 0.500 0.500
Os 0.500 0.000 0.500

Output
Total magnetization   0.00 μB per formula unit
Fermi-level density of states   0.61 states/eV/atom



run x is the most stable structure; the next one sits 0.247 eV/atom above it.



Run w
Compound: Cd2BiP2
Source: the Alexandria database
Functional: PBE-GGA
Structure: relaxed

a = 7.322 Å, b = 7.322 Å, c = 7.322 Å
α = 147.33°, β = 147.33°, γ = 46.87°
Fractional coordinates of all 5 atoms:
Cd 0.250 0.750 0.500
Cd 0.750 0.250 0.500
Bi 0.000 0.000 0.000
P 0.388 0.388 0.000
P 0.612 0.612 0.000

Output
Total magnetization   0.00 μB per formula unit
Fermi-level density of states   0.49 states/eV/atom



Run x
Compound: Cd2BiP2
Source: the Alexandria database
Functional: PBE-GGA
Structure: relaxed

a = 9.612 Å, b = 9.612 Å, c = 9.612 Å
α = 159.02°, β = 159.02°, γ = 29.85°
Fractional coordinates of all 5 atoms:
Cd 0.120 0.120 0.000
Cd 0.880 0.880 0.000
Bi 0.500 0.500 0.000
P 0.250 0.750 0.500
P 0.750 0.250 0.500

Output
Total magnetization   0.00 μB per formula unit
Fermi-level density of states   0.31 states/eV/atom



run x is the most stable structure; the next one sits 0.092 eV/atom above it.



Run w
Compound: CdBi3P
Source: the Alexandria database
Functional: PBE-GGA
Structure: relaxed

a = 5.592 Å, b = 5.592 Å, c = 5.592 Å
α = 90.00°, β = 90.00°, γ = 90.00°
Fractional coordinates of all 5 atoms:
Cd 0.000 0.000 0.000
Bi 0.000 0.000 0.500
Bi 0.000 0.500 0.000
Bi 0.500 0.000 0.000
P 0.500 0.500 0.500

Output
Total magnetization   0.00 μB per formula unit
Fermi-level density of states   1.15 states/eV/atom



Run x
Compound: CdBi3P
Source: the Alexandria database
Functional: PBE-GGA
Structure: relaxed

a = 5.462 Å, b = 5.462 Å, c = 5.462 Å
α = 90.00°, β = 90.00°, γ = 90.00°
Fractional coordinates of all 5 atoms:
Cd 0.000 0.000 0.000
Bi 0.000 0.500 0.500
Bi 0.500 0.000 0.500
Bi 0.500 0.500 0.000
P 0.500 0.500 0.500

Output
Total magnetization   0.00 μB per formula unit
Fermi-level density of states   0.78 states/eV/atom



run x is the most stable structure; the next one sits 0.575 eV/atom above it.



Run w
Compound: PaCdBi3
Source: the Alexandria database
Functional: PBE-GGA
Structure: relaxed

a = 4.367 Å, b = 6.079 Å, c = 6.269 Å
α = 80.19°, β = 69.65°, γ = 68.99°
Fractional coordinates of all 5 atoms:
Pa 0.000 0.000 0.000
Cd 0.826 0.584 0.765
Bi 0.236 0.423 0.105
Bi 0.417 0.772 0.395
Bi 0.642 0.146 0.572

Output
Total magnetization   1.07 μB per formula unit
Fermi-level density of states   1.35 states/eV/atom



Run x
Compound: PaCdBi3
Source: the Alexandria database
Functional: PBE-GGA
Structure: relaxed

a = 7.943 Å, b = 7.943 Å, c = 9.809 Å
α = 96.36°, β = 96.36°, γ = 96.29°
Fractional coordinates of all 20 atoms:
Pa 0.199 0.281 0.386
Pa 0.281 0.199 0.886
Pa 0.719 0.801 0.114
Pa 0.801 0.719 0.614
Cd 0.130 0.870 0.250
Cd 0.435 0.565 0.750
Cd 0.565 0.435 0.250
Cd 0.870 0.130 0.750
Bi 0.040 0.829 0.918
Bi 0.068 0.446 0.681
Bi 0.171 0.960 0.582
Bi 0.325 0.590 0.051
Bi 0.410 0.675 0.449
Bi 0.446 0.068 0.181
Bi 0.554 0.932 0.819
Bi 0.590 0.325 0.551
Bi 0.675 0.410 0.949
Bi 0.829 0.040 0.418
Bi 0.932 0.554 0.319
Bi 0.960 0.171 0.082

Output
Total magnetization   0.00 μB per formula unit
Fermi-level density of states   0.82 states/eV/atom



run w is the most stable structure; the next one sits 0.018 eV/atom above it.